No. 1
First-principles (GGA-PBE) data for Co2Ir after structural relaxation, as listed in the Alexandria database.

## Properties
Energy above the lowest structure with this stoichiometry in eV per formula unit: 0.72
Total DFT energy (no corrections) in eV/atom: -7.4323
Space-group type: I4_1/amd (141)
Formation energy from the elements in eV per formula unit: 0.78

Structure (POSCAR):
```
Co2Ir
1.0
-1.305 1.305 11.398
1.305 -1.305 11.398
1.305 1.305 -11.398
Co Ir
4 2
direct
0.294 0.544 0.750
0.456 0.706 0.750
0.544 0.294 0.250
0.706 0.456 0.250
0.125 0.875 0.250
0.875 0.125 0.750
```

---

No. 2
First-principles (GGA-PBE) data for Sc4SbP2 after structural relaxation, as listed in the Alexandria database.

## Properties
Formation energy from raw total energies in eV per atom: -1.1920
Total DFT energy (no corrections) in eV/atom: -6.9446
Space-group type: Cmcm (63)

Structure (POSCAR):
```
Sc4SbP2
1.0
1.932 -6.159 0.000
1.932 6.159 0.000
0.000 0.000 12.600
Sc Sb P
8 2 4
direct
0.000 0.000 0.000
0.000 0.000 0.500
0.262 0.738 0.616
0.262 0.738 0.884
0.434 0.566 0.250
0.566 0.434 0.750
0.738 0.262 0.116
0.738 0.262 0.384
0.110 0.890 0.250
0.890 0.110 0.750
0.367 0.633 0.058
0.367 0.633 0.442
0.633 0.367 0.558
0.633 0.367 0.942
```

---

No. 3
First-principles (GGA-PBE) data for LiCr2Os after structural relaxation, as listed in the Alexandria database.

## Properties
Total DFT energy (no corrections) in eV/atom: -7.8564
Space-group type: Imm2 (44)
Formation energy from the elements in eV per formula unit: 0.96

Structure (POSCAR):
```
LiCr2Os
1.0
-1.427 2.121 4.102
1.427 -2.121 4.102
1.427 2.121 -4.102
Li Cr Os
1 2 1
direct
0.000 0.000 0.000
0.516 0.516 0.000
0.736 0.236 0.500
0.267 0.767 0.500
```

---

No. 4
First-principles (GGA-PBE) data for La6Nd2Al after structural relaxation, as listed in the Alexandria database.

## Properties
Energy above the lowest structure with this stoichiometry in eV per formula unit: 0.13
Total DFT energy (no corrections) in eV/atom: -4.7863
Space-group type: Pnnm (58)
Formation energy from the elements in eV per formula unit: -0.23

Structure (POSCAR):
```
La6Nd2Al
1.0
10.608 0.000 0.000
0.000 10.642 0.000
0.000 0.000 5.559
La Nd Al
12 4 2
direct
0.040 0.190 0.000
0.124 0.621 0.500
0.190 0.955 0.500
0.310 0.455 0.000
0.376 0.121 0.000
0.460 0.690 0.500
0.540 0.310 0.500
0.624 0.879 0.000
0.690 0.545 0.000
0.810 0.045 0.500
0.876 0.379 0.500
0.960 0.810 0.000
0.217 0.278 0.500
0.283 0.778 0.000
0.717 0.222 0.000
0.783 0.722 0.500
0.000 0.500 0.000
0.500 0.000 0.500
```

---

No. 5
First-principles (GGA-PBE) data for Y2HfPdPt after structural relaxation, as listed in the Alexandria database.

## Properties
Total DFT energy (no corrections) in eV/atom: -6.6333
Space-group type: P4/mmm (123)
Formation energy from the elements in eV per formula unit: 0.95

Structure (POSCAR):
```
Y2HfPdPt
1.0
5.213 0.000 0.000
0.000 5.213 0.000
0.000 0.000 5.083
Y Hf Pd Pt
2 1 1 1
direct
0.000 0.500 0.000
0.500 0.000 0.000
0.000 0.000 0.500
0.500 0.500 0.500
0.500 0.500 0.000
```

---

No. 6
First-principles (GGA-PBE) data for BS3F after structural relaxation, as listed in the Alexandria database.

## Properties
Formation energy from raw total energies in eV per atom: 1.6666
Total DFT energy (no corrections) in eV/atom: -2.5196
Space-group type: Pm-3m (221)

Structure (POSCAR):
```
BS3F
1.0
4.366 0.000 0.000
0.000 4.366 0.000
0.000 0.000 4.366
B S F
1 3 1
direct
0.000 0.000 0.000
0.000 0.500 0.500
0.500 0.000 0.500
0.500 0.500 0.000
0.500 0.500 0.500
```

---

No. 7
First-principles (GGA-PBE) data for GdBeSn after structural relaxation, as listed in the Alexandria database.

## Properties
Total DFT energy (no corrections) in eV/atom: -7.7269
Space-group type: P-6m2 (187)
Formation energy from the elements in eV per formula unit: -1.37

Structure (POSCAR):
```
GdBeSn
1.0
4.204 0.000 0.000
-2.102 3.640 0.000
0.000 0.000 4.224
Gd Be Sn
1 1 1
direct
0.000 0.000 0.000
0.333 0.667 0.500
0.667 0.333 0.500
```

---

No. 8
First-principles (GGA-PBE) data for MoP2Au after structural relaxation, as listed in the Alexandria database.

## Properties
Energy above the lowest structure with this stoichiometry in eV per formula unit: 1.20
Total DFT energy (no corrections) in eV/atom: -5.9641
Space-group type: Cmmm (65)
Formation energy from the elements in eV per formula unit: 1.07

Structure (POSCAR):
```
MoP2Au
1.0
1.596 -2.248 0.000
1.596 2.248 0.000
0.000 0.000 10.129
Mo P Au
1 2 1
direct
0.000 0.000 0.000
0.500 0.500 0.188
0.500 0.500 0.812
0.000 0.000 0.500
```

---

No. 9
First-principles (GGA-PBE) data for Cs6Ca after structural relaxation, as listed in the Alexandria database.

## Properties
Total DFT energy (no corrections) in eV/atom: -0.5430
Space-group type: Im-3m (229)
Formation energy from the elements in eV per formula unit: 3.32

Structure (POSCAR):
```
Cs6Ca
1.0
-6.769 6.769 6.769
6.769 -6.769 6.769
6.769 6.769 -6.769
Cs Ca
6 1
direct
0.250 0.500 0.750
0.250 0.750 0.500
0.500 0.250 0.750
0.500 0.750 0.250
0.750 0.250 0.500
0.750 0.500 0.250
0.000 0.000 0.000
```

---

No. 10
First-principles (GGA-PBE) data for Er8Ir2Rh after structural relaxation, as listed in the Alexandria database.

## Properties
Energy above the lowest structure with this stoichiometry in eV per formula unit: 0.00
Total DFT energy (no corrections) in eV/atom: -6.1719
Space-group type: C2/m (12)
Formation energy from the elements in eV per formula unit: -6.32

Structure (POSCAR):
```
Er8Ir2Rh
1.0
8.584 -2.420 0.000
8.584 2.420 0.000
-2.002 0.000 6.491
Er Ir Rh
8 2 1
direct
0.031 0.031 0.289
0.204 0.204 0.811
0.332 0.332 0.535
0.404 0.404 0.044
0.596 0.596 0.956
0.668 0.668 0.465
0.796 0.796 0.189
0.969 0.969 0.711
0.186 0.186 0.204
0.814 0.814 0.796
0.500 0.500 0.500
```

---

No. 11
First-principles (GGA-PBE) data for CaInSi2 after structural relaxation, as listed in the Alexandria database.

## Properties
Formation energy from raw total energies in eV per atom: 0.0511
Total DFT energy (no corrections) in eV/atom: -3.8454
Space-group type: I4/mmm (139)

Structure (POSCAR):
```
CaInSi2
1.0
-2.167 2.167 4.498
2.167 -2.167 4.498
2.167 2.167 -4.498
Ca In Si
1 1 2
direct
0.000 0.000 0.000
0.500 0.500 0.000
0.250 0.750 0.500
0.750 0.250 0.500
```

---

No. 12
First-principles (GGA-PBE) data for PPdSeCl2 after structural relaxation, as listed in the Alexandria database.

## Properties
Formation energy from raw total energies in eV per atom: 0.7685
Energy above the lowest structure with this stoichiometry in eV per formula unit: 1.80
Total DFT energy (no corrections) in eV/atom: -2.7876
Space-group type: P4/mmm (123)

Structure (POSCAR):
```
PPdSeCl2
1.0
4.792 0.000 0.000
0.000 4.792 0.000
0.000 0.000 5.206
P Pd Se Cl
1 1 1 2
direct
0.000 0.000 0.000
0.500 0.500 0.000
0.000 0.000 0.500
0.000 0.500 0.500
0.500 0.000 0.500
```

---

No. 13
First-principles (GGA-PBE) data for CeTh4Co4 after structural relaxation, as listed in the Alexandria database.

## Properties
Total DFT energy (no corrections) in eV/atom: -7.3562
Space-group type: P4_2/n (86)
Formation energy from the elements in eV per formula unit: -2.17

Structure (POSCAR):
```
CeTh4Co4
1.0
8.441 0.000 0.000
0.000 8.441 0.000
0.000 0.000 5.743
Ce Th Co
2 8 8
direct
0.250 0.250 0.250
0.750 0.750 0.750
0.055 0.667 0.174
0.167 0.945 0.674
0.333 0.555 0.674
0.445 0.833 0.174
0.555 0.167 0.826
0.667 0.445 0.326
0.833 0.055 0.326
0.945 0.333 0.826
0.029 0.625 0.659
0.125 0.971 0.159
0.375 0.529 0.159
0.471 0.875 0.659
0.529 0.125 0.341
0.625 0.471 0.841
0.875 0.029 0.841
0.971 0.375 0.341
```

---

No. 14
First-principles (GGA-PBE) data for PSe3Br3 after structural relaxation, as listed in the Alexandria database.

## Properties
Formation energy from raw total energies in eV per atom: -0.1468
Total DFT energy (no corrections) in eV/atom: -3.1299
Space-group type: P-1 (2)

Structure (POSCAR):
```
PSe3Br3
1.0
7.904 0.000 0.000
2.603 8.738 0.000
2.256 0.415 9.193
P Se Br
2 6 6
direct
0.152 0.261 0.130
0.848 0.739 0.870
0.079 0.067 0.288
0.326 0.861 0.181
0.484 0.214 0.660
0.516 0.786 0.340
0.674 0.139 0.819
0.921 0.933 0.712
0.117 0.568 0.790
0.256 0.079 0.724
0.342 0.341 0.230
0.658 0.659 0.770
0.744 0.921 0.276
0.883 0.432 0.210
```

---

No. 15
First-principles (GGA-PBE) data for InSiAu after structural relaxation, as listed in the Alexandria database.

## Properties
Formation energy from raw total energies in eV per atom: 0.0045
Total DFT energy (no corrections) in eV/atom: -3.8085
Space-group type: P1 (1)

Structure (POSCAR):
```
InSiAu
1.0
3.795 0.000 0.000
-1.363 5.504 0.000
-1.158 -2.760 6.509
In Si Au
2 2 2
direct
0.000 0.000 0.000
0.388 0.396 0.791
0.358 0.500 0.396
0.762 0.246 0.397
0.464 0.758 0.176
0.683 0.978 0.617
```

---

No. 16
First-principles (GGA-PBE) data for MgMnV2 after structural relaxation, as listed in the Alexandria database.

## Properties
Total DFT energy (no corrections) in eV/atom: -6.6899
Space-group type: I-42d (122)
Formation energy from the elements in eV per formula unit: 2.24

Structure (POSCAR):
```
MgMnV2
1.0
-3.392 3.392 2.609
3.392 -3.392 2.609
3.392 3.392 -2.609
Mg Mn V
2 2 4
direct
0.000 0.000 0.000
0.750 0.250 0.500
0.250 0.750 0.500
0.500 0.500 0.000
0.177 0.625 0.052
0.375 0.427 0.552
0.573 0.125 0.948
0.875 0.823 0.448
```

---

No. 17
First-principles (GGA-PBE) data for Dy4CoPt after structural relaxation, as listed in the Alexandria database.

## Properties
Energy above the lowest structure with this stoichiometry in eV per formula unit: 0.00
Total DFT energy (no corrections) in eV/atom: -5.7816
Space-group type: C2/c (15)
Formation energy from the elements in eV per formula unit: -3.13

Structure (POSCAR):
```
Dy4CoPt
1.0
4.386 -6.588 0.000
4.386 6.588 0.000
-3.437 0.000 5.149
Dy Co Pt
8 2 2
direct
0.053 0.693 0.900
0.230 0.350 0.717
0.307 0.947 0.600
0.350 0.230 0.217
0.650 0.770 0.783
0.693 0.053 0.400
0.770 0.650 0.283
0.947 0.307 0.100
0.004 0.996 0.250
0.996 0.004 0.750
0.363 0.637 0.250
0.637 0.363 0.750
```

---

No. 18
First-principles (GGA-PBE) data for HfAu2I after structural relaxation, as listed in the Alexandria database.

## Properties
Formation energy from raw total energies in eV per atom: 0.0029
Energy above the lowest structure with this stoichiometry in eV per formula unit: 0.00
Total DFT energy (no corrections) in eV/atom: -4.5117
Space-group type: I-42d (122)

Structure (POSCAR):
```
HfAu2I
1.0
-4.061 4.061 2.896
4.061 -4.061 2.896
4.061 4.061 -2.896
Hf Au I
2 4 2
direct
0.000 0.000 0.000
0.750 0.250 0.500
0.092 0.625 0.967
0.375 0.342 0.467
0.658 0.125 0.033
0.875 0.908 0.533
0.250 0.750 0.500
0.500 0.500 0.000
```

---

No. 19
First-principles (GGA-PBE) data for BaSbRuI2 after structural relaxation, as listed in the Alexandria database.

## Properties
Formation energy from raw total energies in eV per atom: -0.3890
Energy above the lowest structure with this stoichiometry in eV per formula unit: 0.00
Total DFT energy (no corrections) in eV/atom: -4.0732
Space-group type: P4/mmm (123)

Structure (POSCAR):
```
BaSbRuI2
1.0
5.714 0.000 0.000
0.000 5.714 0.000
0.000 0.000 5.068
Ba Sb Ru I
1 1 1 2
direct
0.000 0.000 0.000
0.500 0.500 0.000
0.500 0.500 0.500
0.000 0.500 0.500
0.500 0.000 0.500
```

---

No. 20
First-principles (GGA-PBE) data for Sm2ErPu after structural relaxation, as listed in the Alexandria database.

## Properties
Energy above the lowest structure with this stoichiometry in eV per formula unit: 0.02
Total DFT energy (no corrections) in eV/atom: -6.9692
Space-group type: R3m (160)
Formation energy from the elements in eV per formula unit: 0.46

Structure (POSCAR):
```
Sm2ErPu
1.0
1.782 1.029 11.484
-1.782 1.029 11.484
0.000 -2.058 11.484
Sm Er Pu
2 1 1
direct
0.000 0.000 0.000
0.164 0.164 0.164
0.582 0.582 0.582
0.416 0.416 0.416
```